The following is a DFT calculation (PBE) of a relaxed Mg6Bi3H crystal.

Results
Density of states at the Fermi level ... 0.07 states/eV/atom
Total magnetization ... 0.0 μB per formula unit
E ... -2.551 eV per atom

abc: 9.496 9.496 6.267
angles: 90.00 90.00 105.26
Element x y z (fractional)
Mg: 0.026 0.974 0.500
Mg: 0.131 0.586 0.458
Mg: 0.166 0.834 0.864
Mg: 0.337 0.354 0.408
Mg: 0.354 0.337 0.908
Mg: 0.414 0.869 0.458
Mg: 0.586 0.131 0.958
Mg: 0.646 0.663 0.408
Mg: 0.663 0.646 0.908
Mg: 0.834 0.166 0.364
Mg: 0.869 0.414 0.958
Mg: 0.974 0.026 0.000
Bi: 0.070 0.310 0.687
Bi: 0.310 0.070 0.187
Bi: 0.376 0.624 0.130
Bi: 0.624 0.376 0.630
Bi: 0.690 0.930 0.687
Bi: 0.930 0.690 0.187
H: 0.249 0.751 0.624
H: 0.751 0.249 0.124